1.
## CoOsPb2 (PBE)

Data for a relaxed CoOsPb2 crystal.

The value obtained for the calculated formation energy is 1.201 eV/atom. The calculation puts the density of states at the Fermi level at 24.81 states/eV per cell. The offset from the most stable computed form is 718 meV/atom.

The space group is I-42d (No. 122) and the conventional cell measures 7.344, 7.344 and 6.053 Å, with angles of 90.00, 90.00 and 90.00 degrees. The distinct sites, in fractional coordinates, are Co at (0.000, 0.000, 0.000), Os at (0.000, 0.000, 0.500) and Pb at (0.235, 0.250, 0.125).



2.
## CoOsPb2 (PBE)

Data for a relaxed CoOsPb2 crystal.

The value obtained for the calculated formation energy is 0.922 eV/atom. The calculation puts the density of states at the Fermi level at 7.81 states/eV per cell. The offset from the most stable computed form is 438 meV/atom.

The space group is C2/m (No. 12) and the conventional cell measures 8.515, 3.293 and 5.618 Å, with angles of 90.00, 102.47 and 90.00 degrees. The distinct sites, in fractional coordinates, are Co at (0.000, 0.000, 0.000), Os at (0.000, 0.500, 0.500) and Pb at (0.248, 0.500, 0.245).



What is the calculated formation energy in the second record? 0.922 eV/atom



offset from the most stable computed form of number 2 (CoOsPb2)? 438 meV/atom



Which of these has the highest offset from the most stable computed form? number 1